No. 1
Density functional theory data (GGA+U) for a geometry-optimized LiCrP4O12 structure.

Summary:
The energy above the most stable polymorph in this dataset is 47.6 meV/atom. As for the volume: 12.54 Å³ per atom.

```
data_LiCrP4O12
_chemical_formula_sum 'Li4 Cr4 P16 O48'
_symmetry_space_group_name_H-M 'P 21 21 21'
_symmetry_Int_Tables_number 19
_cell_length_a 9.075
_cell_length_b 9.458
_cell_length_c 10.516
_cell_angle_alpha 90.00
_cell_angle_beta 90.00
_cell_angle_gamma 90.00
loop_
_symmetry_equiv_pos_as_xyz
'x,y,z'
'-x+1/2,-y,z+1/2'
'x+1/2,-y+1/2,-z'
'-x,y+1/2,-z+1/2'
loop_
_atom_site_label
_atom_site_fract_x
_atom_site_fract_y
_atom_site_fract_z
Li1 0.148 0.249 0.194
Cr1 0.003 0.739 0.717
P1 0.000 0.014 0.519
P2 0.004 0.955 0.112
P3 0.196 0.961 0.888
P4 0.203 0.471 0.606
O1 0.004 0.352 0.282
O2 0.004 0.624 0.879
O3 0.005 0.361 0.942
O4 0.034 0.107 0.128
O5 0.123 0.890 0.009
O6 0.124 0.546 0.087
O7 0.134 0.041 0.424
O8 0.147 0.110 0.862
O9 0.150 0.365 0.702
O10 0.150 0.434 0.467
O11 0.174 0.626 0.640
O12 0.178 0.856 0.780
```

=====

No. 2
Density functional theory data (GGA+U) for a geometry-optimized LiCr2PO6 structure.

Summary:
For the electronic total energy, the calculation gives -215.93 eV per cell. As for the volume: 9.39 Å³ per atom.

```
data_LiCr2PO6
_chemical_formula_sum 'Li3 Cr6 P3 O18'
_symmetry_space_group_name_H-M 'R 3'
_symmetry_Int_Tables_number 146
_symmetry_space_group_name_Hall 'R 3'
_cell_length_a 4.9109
_cell_length_b 4.9109
_cell_length_c 13.4841
_cell_angle_alpha 90.00
_cell_angle_beta 90.00
_cell_angle_gamma 120.00
loop_
_atom_site_label
_atom_site_fract_x
_atom_site_fract_y
_atom_site_fract_z
Li1 0.0000 0.0000 0.0000
Cr1 0.0000 0.0000 0.2164
Cr2 0.0000 0.0000 0.7255
P1 0.0000 0.0000 0.5307
O1 0.0465 0.3606 0.1314
O2 0.0555 0.6674 0.2808
```

=====

No. 3
Density functional theory data (GGA+U) for a geometry-optimized LiCrP2O7 structure.

Summary:
The energy above the most stable polymorph in this dataset is 22.4 meV/atom. As for the volume: 11.47 Å³ per atom.

```
data_LiCrP2O7
_chemical_formula_sum 'Li2 Cr2 P4 O14'
_symmetry_space_group_name_H-M 'P -1'
_symmetry_Int_Tables_number 2
_cell_length_a 6.347
_cell_length_b 6.375
_cell_length_c 6.850
_cell_angle_alpha 85.27
_cell_angle_beta 66.85
_cell_angle_gamma 82.26
loop_
_symmetry_equiv_pos_as_xyz
'x,y,z'
'-x,-y,-z'
loop_
_atom_site_label
_atom_site_fract_x
_atom_site_fract_y
_atom_site_fract_z
Li1 0.207 0.002 0.332
Cr1 0.407 0.357 0.717
P1 0.153 0.606 0.148
P2 0.284 0.869 0.735
O1 0.098 0.408 0.707
O2 0.111 0.950 0.641
O3 0.146 0.791 0.973
O4 0.276 0.404 0.028
O5 0.280 0.687 0.271
O6 0.436 0.034 0.745
O7 0.449 0.669 0.619
```

=====

No. 4
Density functional theory data (GGA+U) for a geometry-optimized Li2CrP2O7 structure.

Summary:
The energy above the most stable polymorph in this dataset is 60.0 meV/atom. As for the volume: 12.45 Å³ per atom.

```
data_Li2CrP2O7
_chemical_formula_sum 'Li4 Cr2 P4 O14'
_symmetry_space_group_name_H-M 'P -1'
_symmetry_Int_Tables_number 2
_cell_length_a 5.808
_cell_length_b 5.899
_cell_length_c 8.962
_cell_angle_alpha 85.79
_cell_angle_beta 89.73
_cell_angle_gamma 77.44
loop_
_symmetry_equiv_pos_as_xyz
'x,y,z'
'-x,-y,-z'
loop_
_atom_site_label
_atom_site_fract_x
_atom_site_fract_y
_atom_site_fract_z
Li1 0.165 0.388 0.264
Li2 0.307 0.819 0.424
Cr1 0.386 0.318 0.904
P1 0.198 0.189 0.603
P2 0.269 0.813 0.841
O1 0.050 0.698 0.350
O2 0.084 0.669 0.867
O3 0.237 0.162 0.437
O4 0.254 0.909 0.667
O5 0.261 0.018 0.937
O6 0.391 0.290 0.676
O7 0.481 0.361 0.133
```

=====

No. 5
Density functional theory data (GGA+U) for a geometry-optimized Li2CrP2O7 structure.

Summary:
The energy above the most stable polymorph in this dataset is 34.4 meV/atom. As for the volume: 11.72 Å³ per atom.

```
data_Li2CrP2O7
_chemical_formula_sum 'Li8 Cr4 P8 O28'
_symmetry_space_group_name_H-M 'P 1 21/c 1'
_symmetry_Int_Tables_number 14
_cell_length_a 5.125
_cell_length_b 13.853
_cell_length_c 9.209
_cell_angle_alpha 90.00
_cell_angle_beta 120.59
_cell_angle_gamma 90.00
loop_
_symmetry_equiv_pos_as_xyz
'x,y,z'
'-x,-y,-z'
'-x,y+1/2,-z+1/2'
'x,-y+1/2,z+1/2'
loop_
_atom_site_label
_atom_site_fract_x
_atom_site_fract_y
_atom_site_fract_z
Li1 0.053 0.097 0.357
Li2 0.429 0.194 0.171
Cr1 0.012 0.157 0.731
P1 0.269 0.674 0.531
P2 0.492 0.525 0.776
O1 0.010 0.184 0.146
O2 0.218 0.722 0.666
O3 0.245 0.529 0.824
O4 0.252 0.100 0.624
O5 0.318 0.560 0.577
O6 0.385 0.574 0.221
O7 0.438 0.210 0.957
```

=====

No. 6
Density functional theory data (GGA+U) for a geometry-optimized Li2CrP2O7 structure.

Summary:
The energy above the most stable polymorph in this dataset is 695.0 meV/atom. As for the volume: 16.18 Å³ per atom.

```
data_Li2CrP2O7
_chemical_formula_sum 'Li4 Cr2 P4 O14'
_symmetry_space_group_name_H-M 'P -1'
_symmetry_Int_Tables_number 2
_cell_length_a 5.988
_cell_length_b 7.317
_cell_length_c 9.542
_cell_angle_alpha 73.54
_cell_angle_beta 84.10
_cell_angle_gamma 75.66
loop_
_symmetry_equiv_pos_as_xyz
'x,y,z'
'-x,-y,-z'
loop_
_atom_site_label
_atom_site_fract_x
_atom_site_fract_y
_atom_site_fract_z
Li1 0.001 0.289 0.414
Li2 0.158 0.792 0.900
Cr1 0.007 0.281 0.758
P1 0.254 0.374 0.099
P2 0.448 0.776 0.620
O1 0.081 0.268 0.198
O2 0.130 0.746 0.371
O3 0.153 0.071 0.856
O4 0.170 0.435 0.687
O5 0.189 0.605 0.112
O6 0.329 0.218 0.464
O7 0.484 0.702 0.792
```

=====

No. 7
Density functional theory data (GGA+U) for a geometry-optimized LiCrP2O7 structure.

Summary:
The energy above the most stable polymorph in this dataset is 197.0 meV/atom. As for the volume: 13.76 Å³ per atom.

```
data_LiCrP2O7
_chemical_formula_sum 'Li4 Cr4 P8 O28'
_symmetry_space_group_name_H-M 'C 1 2/m 1'
_symmetry_Int_Tables_number 12
_cell_length_a 8.665
_cell_length_b 13.384
_cell_length_c 5.230
_cell_angle_alpha 90.00
_cell_angle_beta 93.57
_cell_angle_gamma 90.00
loop_
_symmetry_equiv_pos_as_xyz
'x,y,z'
'-x,-y,-z'
'-x,y,-z'
'x,-y,z'
'x+1/2,y+1/2,z'
'-x+1/2,-y+1/2,-z'
'-x+1/2,y+1/2,-z'
'x+1/2,-y+1/2,z'
loop_
_atom_site_label
_atom_site_fract_x
_atom_site_fract_y
_atom_site_fract_z
Li1 0.000 0.223 0.000
Cr1 0.170 0.000 0.179
P1 0.219 0.393 0.287
O1 0.109 0.310 0.238
O2 0.129 0.500 0.237
O3 0.149 0.102 0.910
O4 0.206 0.100 0.438
```

=====

No. 8
Density functional theory data (GGA+U) for a geometry-optimized Li2CrP2O7 structure.

Summary:
The energy above the most stable polymorph in this dataset is 48.0 meV/atom. As for the volume: 11.90 Å³ per atom.

```
data_Li2CrP2O7
_chemical_formula_sum 'Li4 Cr2 P4 O14'
_symmetry_space_group_name_H-M 'P -1'
_symmetry_Int_Tables_number 2
_cell_length_a 5.641
_cell_length_b 6.386
_cell_length_c 8.853
_cell_angle_alpha 108.51
_cell_angle_beta 95.50
_cell_angle_gamma 105.59
loop_
_symmetry_equiv_pos_as_xyz
'x,y,z'
'-x,-y,-z'
loop_
_atom_site_label
_atom_site_fract_x
_atom_site_fract_y
_atom_site_fract_z
Li1 0.156 0.263 0.458
Li2 0.283 0.709 0.271
Cr1 0.123 0.116 0.879
P1 0.244 0.653 0.906
P2 0.381 0.800 0.625
O1 0.069 0.809 0.927
O2 0.081 0.396 0.825
O3 0.192 0.938 0.656
O4 0.278 0.589 0.467
O5 0.350 0.054 0.364
O6 0.411 0.708 0.777
O7 0.424 0.710 0.062
```